[1]
LaMo3 | PBE-GGA | optimized geometry

Calculated values
- Theoretical density: 8.02 g cm⁻³
- DOS(E_F): 1.01 states/eV/atom
- Total magnetic moment: 0.00 μB/f.u.
- ΔH_f (0 K): 0.557 eV per atom

Unit cell a=6.4881 b=6.4881 c=4.4254 alpha=90.00 beta=90.00 gamma=108.56
Fractional coordinates of all 8 atoms:
Mo 0.2471 0.0942 0.7500
Mo 0.0942 0.2471 0.2500
Mo 0.8531 0.1469 0.7500
Mo 0.9058 0.7529 0.7500
Mo 0.1469 0.8531 0.2500
Mo 0.7529 0.9058 0.2500
La 0.3656 0.6344 0.7500
La 0.6344 0.3656 0.2500

[2]
LaMo2 | PBE-GGA | optimized geometry

Calculated values
- Theoretical density: 8.66 g cm⁻³
- DOS(E_F): 1.13 states/eV/atom
- Total magnetic moment: 0.00 μB/f.u.
- ΔH_f (0 K): 0.561 eV per atom

Unit cell a=3.1732 b=3.1732 c=14.5530 alpha=90.00 beta=90.00 gamma=120.00
Fractional coordinates of all 6 atoms:
Mo 0.3333 0.6667 0.6976
Mo 0.6667 0.3333 0.5735
Mo 0.6667 0.3333 0.3024
Mo 0.3333 0.6667 0.4265
La 0.6667 0.3333 0.8820
La 0.3333 0.6667 0.1180

[3]
LaMo2 | PBE-GGA | optimized geometry

Calculated values
- Theoretical density: 9.52 g cm⁻³
- DOS(E_F): 1.03 states/eV/atom
- Total magnetic moment: 0.00 μB/f.u.
- ΔH_f (0 K): 0.719 eV per atom

Unit cell a=2.9274 b=4.7919 c=8.2289 alpha=90.00 beta=90.00 gamma=90.00
Fractional coordinates of all 6 atoms:
La 0.5000 0.5000 0.5000
La 0.0000 0.0000 0.0000
Mo 0.7585 0.0000 0.6633
Mo 0.2585 0.5000 0.8367
Mo 0.2415 0.0000 0.3367
Mo 0.7415 0.5000 0.1633

[4]
La2Mo | PBE-GGA | optimized geometry

Calculated values
- Theoretical density: 7.61 g cm⁻³
- DOS(E_F): 1.06 states/eV/atom
- Total magnetic moment: 0.00 μB/f.u.
- ΔH_f (0 K): 0.400 eV per atom

Unit cell a=7.7138 b=4.6200 c=9.1497 alpha=90.00 beta=90.00 gamma=90.00
Fractional coordinates of all 12 atoms:
Mo 0.2561 0.2500 0.8764
Mo 0.7439 0.7500 0.1236
Mo 0.7561 0.2500 0.6236
Mo 0.2439 0.7500 0.3764
La 0.0249 0.2500 0.1827
La 0.8291 0.7500 0.4429
La 0.4751 0.7500 0.6827
La 0.9751 0.7500 0.8173
La 0.1709 0.2500 0.5571
La 0.6709 0.2500 0.9429
La 0.3291 0.7500 0.0571
La 0.5249 0.2500 0.3173

[5]
LaMo3 | PBE-GGA | optimized geometry

Calculated values
- Theoretical density: 9.26 g cm⁻³
- DOS(E_F): 1.45 states/eV/atom
- Total magnetic moment: 0.00 μB/f.u.
- ΔH_f (0 K): 0.903 eV per atom

Unit cell a=5.3495 b=5.3495 c=5.3495 alpha=90.00 beta=90.00 gamma=90.00
Fractional coordinates of all 8 atoms:
La 0.5000 0.5000 0.5000
La 0.0000 0.0000 0.0000
Mo 0.5000 0.0000 0.7500
Mo 0.2500 0.5000 0.0000
Mo 0.0000 0.7500 0.5000
Mo 0.5000 0.0000 0.2500
Mo 0.7500 0.5000 0.0000
Mo 0.0000 0.2500 0.5000

[6]
LaMo3 | PBE-GGA | optimized geometry

Calculated values
- Theoretical density: 8.54 g cm⁻³
- DOS(E_F): 1.37 states/eV/atom
- Total magnetic moment: 0.00 μB/f.u.
- ΔH_f (0 K): 0.723 eV per atom

Unit cell a=6.7059 b=6.7059 c=8.5223 alpha=90.00 beta=90.00 gamma=120.00
Fractional coordinates of all 16 atoms:
La 0.0000 0.0000 0.0000
La 0.6667 0.3333 0.7500
La 0.3333 0.6667 0.2500
La 0.0000 0.0000 0.5000
Mo 0.0000 0.5000 0.5000
Mo 0.4107 0.2053 0.2500
Mo 0.5000 0.5000 0.5000
Mo 0.5000 0.0000 0.5000
Mo 0.5000 0.5000 0.0000
Mo 0.5000 0.0000 0.0000
Mo 0.2053 0.7947 0.7500
Mo 0.0000 0.5000 0.0000
Mo 0.5893 0.7947 0.7500
Mo 0.7947 0.2053 0.2500
Mo 0.7947 0.5893 0.2500
Mo 0.2053 0.4107 0.7500